# GGA-PBE La3MgO, optimized geometry
data_La3MgO
_symmetry_space_group_name_H-M 'P 1'
_symmetry_Int_Tables_number 1
_cell_length_a 13.407
_cell_length_b 9.385
_cell_length_c 9.385
_cell_angle_alpha 78.45
_cell_angle_beta 123.65
_cell_angle_gamma 56.35
loop_
_symmetry_equiv_pos_as_xyz
'x,y,z'
loop_
_atom_site_label
_atom_site_fract_x
_atom_site_fract_y
_atom_site_fract_z
_atom_site_occupancy
Mg1 0.092 0.475 0.396 1
Mg2 0.408 0.896 0.975 1
Mg3 0.908 0.525 0.604 1
Mg4 0.592 0.104 0.025 1
O1 0.750 0.183 0.683 1
O2 0.250 0.817 0.317 1
O3 0.750 0.447 0.947 1
O4 0.250 0.553 0.053 1
La1 0.408 0.410 0.455 1
La2 0.092 0.955 0.910 1
La3 0.592 0.590 0.545 1
La4 0.908 0.045 0.090 1
La5 0.092 0.219 0.161 1
La6 0.408 0.661 0.719 1
La7 0.908 0.781 0.839 1
La8 0.592 0.339 0.281 1
La9 0.590 0.847 0.807 1
La10 0.910 0.307 0.347 1
La11 0.410 0.153 0.193 1
La12 0.090 0.693 0.653 1
# distance to the lowest polymorph of the same formula: 0.172 eV/atom
# total energy: -106.06 eV/cell
# formation energy (no corrections): -1.036 eV/atom